# 1
This record from Alexandria describes a relaxed LiV2B6 crystal. The functional is PBE-GGA.

Computed properties:
Its final energy is -7.244 eV per atom. The value obtained for the formation energy is -5.0 eV per formula unit. As for the density of states at the Fermi level: 1.3 states/eV/f.u. As for the volume: 7.87 A^3/atom. As for the space group: No. 191.

a = 5.1703 Å, b = 5.1703 Å, c = 3.0581 Å
α = 90.00°, β = 90.00°, γ = 120.00°
With the nearest neighbours (Å) after each atom.
Atoms (fractional coordinates):
Li: 0.0000 0.0000 0.0000  12 B 2.30
V: 0.3333 0.6667 0.0000  12 B 2.30
V: 0.6667 0.3333 0.0000  12 B 2.30
B: 0.0000 0.3333 0.5000  3 B 1.72
B: 0.0000 0.6667 0.5000  3 B 1.72
B: 0.3333 0.0000 0.5000  3 B 1.72
B: 0.3333 0.3333 0.5000  3 B 1.72
B: 0.6667 0.0000 0.5000  3 B 1.72
B: 0.6667 0.6667 0.5000  3 B 1.72



# 2
This record from Alexandria describes a relaxed Cr3GeAu crystal. The functional is PBE-GGA.

Computed properties:
Its final energy is -6.020 eV per atom. The value obtained for the formation energy is 6.7 eV per formula unit. The value obtained for the excess energy over the best structure of this formula in the dataset is 0.384 eV/atom. As for the density of states at the Fermi level: 5.2 states/eV/f.u. As for the volume: 24.52 A^3/atom. As for the space group: No. 221.

a = 4.9678 Å, b = 4.9678 Å, c = 4.9678 Å
α = 90.00°, β = 90.00°, γ = 90.00°
With the nearest neighbours (Å) after each atom.
Atoms (fractional coordinates):
Cr: 0.0000 0.0000 0.5000  2 Au 2.48
Cr: 0.0000 0.5000 0.0000  2 Au 2.48
Cr: 0.5000 0.0000 0.0000  2 Au 2.48
Ge: 0.5000 0.5000 0.5000  12 Cr 3.51
Au: 0.0000 0.0000 0.0000  6 Cr 2.48



# 3
This record from Alexandria describes a relaxed KY2Ag crystal. The functional is PBE-GGA.

Computed properties:
Its final energy is -3.820 eV per atom. The value obtained for the formation energy is 1.6 eV per formula unit. As for the density of states at the Fermi level: 4.4 states/eV/f.u. As for the volume: 30.94 A^3/atom. As for the space group: No. 123.

a = 4.7757 Å, b = 4.7757 Å, c = 5.4264 Å
α = 90.00°, β = 90.00°, γ = 90.00°
With the nearest neighbours (Å) after each atom.
Atoms (fractional coordinates):
K: 0.0000 0.0000 0.0000  4 Ag 3.38, 8 Y 3.61
Y: 0.0000 0.5000 0.5000  4 Y 3.38, 4 K 3.61, 4 Ag 3.61
Y: 0.5000 0.0000 0.5000  4 Y 3.38, 4 K 3.61, 4 Ag 3.61
Ag: 0.5000 0.5000 0.0000  4 K 3.38, 8 Y 3.61



# 4
This record from Alexandria describes a relaxed DyScHgPt crystal. The functional is PBE-GGA.

Computed properties:
Its final energy is -5.103 eV per atom. The value obtained for the formation energy is -3.1 eV per formula unit. The value obtained for the excess energy over the best structure of this formula in the dataset is 0.062 eV/atom. As for the density of states at the Fermi level: 2.5 states/eV/f.u. As for the volume: 21.61 A^3/atom. As for the space group: No. 216.

a = 4.9631 Å, b = 4.9631 Å, c = 4.9631 Å
α = 60.00°, β = 60.00°, γ = 60.00°
With the nearest neighbours (Å) after each atom.
Atoms (fractional coordinates):
Dy: 0.0000 0.0000 0.0000  4 Hg 3.04, 4 Pt 3.04
Sc: 0.5000 0.5000 0.5000  4 Hg 3.04, 4 Pt 3.04
Hg: 0.7500 0.7500 0.7500  4 Sc 3.04, 4 Dy 3.04
Pt: 0.2500 0.2500 0.2500  4 Sc 3.04, 4 Dy 3.04



# 5
This record from Alexandria describes a relaxed NdMgSc crystal. The functional is PBE-GGA.

Computed properties:
Its final energy is -4.234 eV per atom. The value obtained for the formation energy is 0.0 eV per formula unit. The value obtained for the excess energy over the best structure of this formula in the dataset is 0.015 eV/atom. As for the density of states at the Fermi level: 4.1 states/eV/f.u. As for the volume: 27.66 A^3/atom. As for the space group: No. 31.

a = 3.4161 Å, b = 14.2070 Å, c = 3.4192 Å
α = 90.00°, β = 90.00°, γ = 90.00°
With the nearest neighbours (Å) after each atom.
Atoms (fractional coordinates):
Nd: 0.0000 0.2454 0.0000  4 Nd 3.42, 4 Mg 3.46-3.47, 4 Sc 3.49
Nd: 0.5000 0.7546 0.5000  4 Nd 3.42, 4 Mg 3.46-3.47, 4 Sc 3.49
Mg: 0.0000 0.9293 0.0018  8 Mg 3.14-3.42, 4 Nd 3.46-3.47
Mg: 0.5000 0.0707 0.5018  8 Mg 3.14-3.42, 4 Nd 3.46-3.47
Sc: 0.0000 0.5776 0.9989  8 Sc 3.27-3.42, 4 Nd 3.49
Sc: 0.5000 0.4224 0.4989  8 Sc 3.27-3.42, 4 Nd 3.49



# 6
This record from Alexandria describes a relaxed MgNpGa4 crystal. The functional is PBE-GGA.

Computed properties:
Its final energy is -4.589 eV per atom. The value obtained for the formation energy is -0.9 eV per formula unit. The value obtained for the excess energy over the best structure of this formula in the dataset is 0.000 eV/atom. As for the density of states at the Fermi level: 7.5 states/eV/f.u. As for the volume: 18.77 A^3/atom. As for the space group: No. 47.

a = 2.9144 Å, b = 4.7072 Å, c = 8.2070 Å
α = 90.00°, β = 90.00°, γ = 90.00°
With the nearest neighbours (Å) after each atom.
Atoms (fractional coordinates):
Mg: 0.0000 0.0000 0.0000  2 Mg 2.91, 12 Ga 3.03-3.06
Np: 0.0000 0.5000 0.5000  2 Np 2.91, 12 Ga 3.12-3.15
Ga: 0.5000 0.0000 0.3241  5 Ga 2.71-2.91, 2 Mg 3.03
Ga: 0.5000 0.0000 0.6759  5 Ga 2.71-2.91, 2 Mg 3.03
Ga: 0.5000 0.5000 0.1596  5 Ga 2.62-2.91
Ga: 0.5000 0.5000 0.8404  5 Ga 2.62-2.91



# 7
This record from Alexandria describes a relaxed Ac2Sn3Ir4Pb crystal. The functional is PBE-GGA.

Computed properties:
Its final energy is -6.425 eV per atom. The value obtained for the formation energy is -4.9 eV per formula unit. As for the density of states at the Fermi level: 7.6 states/eV/f.u. As for the volume: 23.39 A^3/atom. As for the space group: No. 115.

a = 4.5859 Å, b = 4.5859 Å, c = 11.1218 Å
α = 90.00°, β = 90.00°, γ = 90.00°
With the nearest neighbours (Å) after each atom.
Atoms (fractional coordinates):
Ac: 0.0000 0.5000 0.2467  8 Ir 3.49-3.58, 6 Sn 3.51-3.63, 2 Pb 3.63
Ac: 0.5000 0.0000 0.7533  8 Ir 3.49-3.58, 6 Sn 3.51-3.63, 2 Pb 3.63
Sn: 0.0000 0.5000 0.8738  5 Ir 2.63-2.69
Sn: 0.5000 0.0000 0.1262  5 Ir 2.63-2.69
Sn: 0.5000 0.5000 0.5000  4 Ir 2.76
Ir: 0.0000 0.0000 0.0000  4 Sn 2.69
Ir: 0.0000 0.5000 0.6374  3 Sn 2.63-2.76, 2 Pb 2.76
Ir: 0.5000 0.0000 0.3626  3 Sn 2.63-2.76, 2 Pb 2.76
Ir: 0.5000 0.5000 0.0000  4 Sn 2.69
Pb: 0.0000 0.0000 0.5000  4 Ir 2.76



# 8
This record from Alexandria describes a relaxed CaHoTl4 crystal. The functional is PBE-GGA.

Computed properties:
Its final energy is -2.890 eV per atom. The value obtained for the formation energy is -1.3 eV per formula unit. The value obtained for the excess energy over the best structure of this formula in the dataset is 0.000 eV/atom. As for the density of states at the Fermi level: 4.1 states/eV/f.u. As for the volume: 28.79 A^3/atom. As for the space group: No. 2.

a = 5.0405 Å, b = 5.0407 Å, c = 7.7489 Å
α = 89.15°, β = 89.04°, γ = 61.33°
With the nearest neighbours (Å) after each atom.
Atoms (fractional coordinates):
Ca: 0.0000 0.0000 0.0000  6 Tl 3.28-3.30
Ho: 0.0000 0.0000 0.5000  6 Tl 3.19-3.22
Tl: 0.3327 0.3331 0.1939  3 Tl 3.11-3.13, 3 Ca 3.28-3.30
Tl: 0.3332 0.3331 0.6681  3 Tl 3.11-3.13, 3 Ho 3.19-3.22
Tl: 0.6668 0.6669 0.3319  3 Tl 3.11-3.13, 3 Ho 3.19-3.22
Tl: 0.6673 0.6669 0.8061  3 Tl 3.11-3.13, 3 Ca 3.28-3.30